(1)
A relaxed structure of La2CuPdN, computed with PBE.

Properties
Distance to the lowest polymorph of the same formula ... 0 meV per atom

Cell: 5.1554 5.1554 3.8353 Å, 90.00 90.00 90.00°
Element x y z (fractional)
Pd 0.5000 0.5000 0.5000
La 0.0000 0.5000 0.0000
Cu 0.0000 0.0000 0.5000
La 0.5000 0.0000 0.0000
N 0.0000 0.0000 0.0000

(2)
A relaxed structure of CuAsRh2, computed with PBE.

Properties
DFT formation energy ... -0.5 eV/f.u.

Cell: 4.8161 4.8161 4.3708 Å, 74.78 74.78 35.34°
Element x y z (fractional)
Cu 0.2435 0.2435 0.1938
As 0.5005 0.5005 0.5645
Rh 0.7656 0.7656 0.6802
Rh 0.9904 0.9904 0.0616

(3)
A relaxed structure of LaTb2Cd, computed with PBE.

Properties
Distance to the lowest polymorph of the same formula ... 176 meV per atom
DFT formation energy ... 0.1 eV/f.u.

Cell: 5.5008 5.5008 5.5008 Å, 60.00 60.00 60.00°
Element x y z (fractional)
La 0.0000 0.0000 0.0000
Tb 0.2500 0.2500 0.2500
Cd 0.5000 0.5000 0.5000
Tb 0.7500 0.7500 0.7500

(4)
A relaxed structure of ZrZn2Mo, computed with PBE.

Properties
Distance to the lowest polymorph of the same formula ... 248 meV per atom
DFT formation energy ... 0.6 eV/f.u.

Cell: 9.7056 9.7056 9.7056 Å, 17.01 17.01 17.01°
Element x y z (fractional)
Zn 0.0054 0.0054 0.0054
Zr 0.2500 0.2500 0.2500
Zn 0.4946 0.4946 0.4946
Mo 0.7500 0.7500 0.7500

(5)
A relaxed structure of TiSe2F, computed with PBE.

Properties
Distance to the lowest polymorph of the same formula ... 0 meV per atom

Cell: 7.6038 7.6038 7.6038 Å, 27.53 27.53 27.53°
Element x y z (fractional)
Se 0.0997 0.0997 0.0997
Ti 0.5000 0.5000 0.5000
F 0.0000 0.0000 0.0000
Se 0.9003 0.9003 0.9003

(6)
A relaxed structure of La2TcSb, computed with PBE.

Properties
Calculated total energy ... -6.309 eV/atom

Cell: 8.4432 8.4432 6.7016 Å, 50.95 50.95 90.00°
Element x y z (fractional)
Tc 0.5000 0.5000 0.0000
Sb 0.7500 0.2500 0.5000
La 0.1973 0.6250 0.2500
Tc 0.2500 0.7500 0.5000
La 0.8750 0.8027 0.7500
La 0.3750 0.4473 0.7500
Sb 0.0000 0.0000 0.0000
La 0.5527 0.1250 0.2500

Computed N(E_F), in the same sequence as the records: 2.50; 2.69; 6.54; 2.64; 1.99; 0.00 states/eV/f.u..